No. 1
Material: La3MnGaS7
Method: DFT, GGA-PBEsol
State: optimized geometry

Energy (eV/atom): -6.636
Energy relative to the elements, uncorrected (meV/atom): -1650

The structure in CIF format:
```
data_La3MnGaS7
_cell_length_a 10.1183
_cell_length_b 10.1183
_cell_length_c 5.9469
_cell_angle_alpha 90.00
_cell_angle_beta 90.00
_cell_angle_gamma 120.00
_symmetry_space_group_name_H-M 'P 63'
_symmetry_Int_Tables_number 173
loop_
_symmetry_equiv_pos_as_xyz
'x,y,z'
'x-y,x,z+1/2'
'-y,x-y,z'
'-x,-y,z+1/2'
'-x+y,-x,z'
'y,-x+y,z+1/2'
loop_
_atom_site_label
_atom_site_fract_x
_atom_site_fract_y
_atom_site_fract_z
La1 0.1408 0.7669 0.0000
Mn1 0.0000 0.0000 0.2699
Ga1 0.3333 0.6667 0.4170
S1 0.0897 0.8540 0.5313
S2 0.0960 0.5165 0.2697
S3 0.3333 0.6667 0.7915
```


No. 2
Material: AgAu
Method: DFT, GGA-PBEsol
State: optimized geometry

Energy (eV/atom): -3.652

The structure in CIF format:
```
data_AgAu
_cell_length_a 2.8794
_cell_length_b 2.8794
_cell_length_c 4.6680
_cell_angle_alpha 90.00
_cell_angle_beta 90.00
_cell_angle_gamma 120.00
_symmetry_space_group_name_H-M 'P -6 m 2'
_symmetry_Int_Tables_number 187
_symmetry_space_group_name_Hall 'P -6 2'
loop_
_atom_site_label
_atom_site_fract_x
_atom_site_fract_y
_atom_site_fract_z
Ag1 0.0000 0.0000 0.0000
Au1 0.3333 0.6667 0.5000
```


No. 3
Material: SrGeTe2
Method: DFT, GGA-PBEsol
State: optimized geometry

Energy (eV/atom): -3.708
Energy relative to the elements, uncorrected (meV/atom): -250

The structure in CIF format:
```
data_SrGeTe2
_cell_length_a 4.8754
_cell_length_b 4.8754
_cell_length_c 25.9613
_cell_angle_alpha 90.00
_cell_angle_beta 90.00
_cell_angle_gamma 120.00
_symmetry_space_group_name_H-M 'R -3 m'
_symmetry_Int_Tables_number 166
_symmetry_space_group_name_Hall '-R 3 2"'
loop_
_atom_site_label
_atom_site_fract_x
_atom_site_fract_y
_atom_site_fract_z
Sr1 0.0000 0.0000 0.0000
Ge1 0.0000 0.0000 0.5000
Te1 0.0000 0.0000 0.3971
```


No. 4
Material: YBe2Sb
Method: DFT, GGA-PBEsol
State: optimized geometry

Energy (eV/atom): -4.845
Energy relative to the elements, uncorrected (meV/atom): 0

The structure in CIF format:
```
data_YBe2Sb
_cell_length_a 7.599
_cell_length_b 3.845
_cell_length_c 5.299
_cell_angle_alpha 90.00
_cell_angle_beta 113.97
_cell_angle_gamma 90.00
_symmetry_space_group_name_H-M 'C 1 2/m 1'
_symmetry_Int_Tables_number 12
loop_
_symmetry_equiv_pos_as_xyz
'x,y,z'
'-x,-y,-z'
'-x,y,-z'
'x,-y,z'
'x+1/2,y+1/2,z'
'-x+1/2,-y+1/2,-z'
'-x+1/2,y+1/2,-z'
'x+1/2,-y+1/2,z'
loop_
_atom_site_label
_atom_site_fract_x
_atom_site_fract_y
_atom_site_fract_z
Y1 0.000 0.000 0.000
Be1 0.235 0.000 0.636
Sb1 0.000 0.500 0.500
```


No. 5
Material: VPO5
Method: DFT, GGA-PBEsol
State: optimized geometry

Energy (eV/atom): -8.204
Offset from the most stable computed form (eV/atom): 0.002
Energy relative to the elements, uncorrected (meV/atom): -2251

The structure in CIF format:
```
data_VPO5
_cell_length_a 7.226
_cell_length_b 7.005
_cell_length_c 7.252
_cell_angle_alpha 90.00
_cell_angle_beta 117.00
_cell_angle_gamma 90.00
_symmetry_space_group_name_H-M 'C 1 c 1'
_symmetry_Int_Tables_number 9
loop_
_symmetry_equiv_pos_as_xyz
'x,y,z'
'x,-y,z+1/2'
'x+1/2,y+1/2,z'
'x+1/2,-y+1/2,z+1/2'
loop_
_atom_site_label
_atom_site_fract_x
_atom_site_fract_y
_atom_site_fract_z
V1 0.000 0.233 0.000
P1 0.211 0.376 0.712
O1 0.046 0.494 0.043
O2 0.103 0.246 0.803
O3 0.200 0.162 0.200
O4 0.308 0.248 0.607
O5 0.380 0.497 0.883
```


No. 6
Material: NaSc3Ga
Method: DFT, GGA-PBEsol
State: optimized geometry

Energy (eV/atom): -4.667

The structure in CIF format:
```
data_NaSc3Ga
_cell_length_a 5.184
_cell_length_b 5.184
_cell_length_c 5.184
_cell_angle_alpha 90.00
_cell_angle_beta 90.00
_cell_angle_gamma 90.00
_symmetry_space_group_name_H-M 'P m -3 m'
_symmetry_Int_Tables_number 221
_symmetry_space_group_name_Hall '-P 4 2 3'
loop_
_atom_site_label
_atom_site_fract_x
_atom_site_fract_y
_atom_site_fract_z
Na1 0.000 0.000 0.000
Sc1 0.000 0.500 0.500
Ga1 0.500 0.500 0.500
```


No. 7
Material: Mn2RuSe
Method: DFT, GGA-PBEsol
State: optimized geometry

Energy (eV/atom): -8.002
Energy relative to the elements, uncorrected (meV/atom): 384

The structure in CIF format:
```
data_Mn2RuSe
_cell_length_a 4.194
_cell_length_b 4.194
_cell_length_c 2.804
_cell_angle_alpha 90.00
_cell_angle_beta 90.00
_cell_angle_gamma 90.00
_symmetry_space_group_name_H-M 'P 4/m m m'
_symmetry_Int_Tables_number 123
_symmetry_space_group_name_Hall '-P 4 2'
loop_
_atom_site_label
_atom_site_fract_x
_atom_site_fract_y
_atom_site_fract_z
Mn1 0.000 0.500 0.000
Ru1 0.000 0.000 0.500
Se1 0.500 0.500 0.500
```


No. 8
Material: TcMo2P
Method: DFT, GGA-PBEsol
State: optimized geometry

Energy (eV/atom): -10.291

The structure in CIF format:
```
data_TcMo2P
_cell_length_a 3.014
_cell_length_b 3.014
_cell_length_c 6.173
_cell_angle_alpha 90.00
_cell_angle_beta 90.00
_cell_angle_gamma 90.00
_symmetry_space_group_name_H-M 'P 4 m m'
_symmetry_Int_Tables_number 99
loop_
_symmetry_equiv_pos_as_xyz
'x,y,z'
'-y,x,z'
'-x,-y,z'
'y,-x,z'
'-x,y,z'
'y,x,z'
'x,-y,z'
'-y,-x,z'
loop_
_atom_site_label
_atom_site_fract_x
_atom_site_fract_y
_atom_site_fract_z
Tc1 0.000 0.000 0.000
Mo1 0.000 0.000 0.538
Mo2 0.500 0.500 0.240
P1 0.500 0.500 0.741
```


No. 9
Material: BaReTe2
Method: DFT, GGA-PBEsol
State: optimized geometry

Energy (eV/atom): -5.839
Offset from the most stable computed form (eV/atom): 0.000
Energy relative to the elements, uncorrected (meV/atom): -206

The structure in CIF format:
```
data_BaReTe2
_cell_length_a 8.217
_cell_length_b 8.217
_cell_length_c 7.304
_cell_angle_alpha 90.00
_cell_angle_beta 90.00
_cell_angle_gamma 90.00
_symmetry_space_group_name_H-M 'I -4 2 d'
_symmetry_Int_Tables_number 122
_symmetry_space_group_name_Hall 'I -4 2bw'
loop_
_atom_site_label
_atom_site_fract_x
_atom_site_fract_y
_atom_site_fract_z
Ba1 0.000 0.000 0.000
Re1 0.000 0.000 0.500
Te1 0.152 0.250 0.625
```


No. 10
Material: LiNi2S3O12
Method: DFT, GGA-PBEsol
State: optimized geometry

Energy (eV/atom): -6.277
Energy relative to the elements, uncorrected (meV/atom): -1253

The structure in CIF format:
```
data_LiNi2S3O12
_cell_length_a 8.157
_cell_length_b 8.509
_cell_length_c 14.179
_cell_angle_alpha 90.00
_cell_angle_beta 124.71
_cell_angle_gamma 90.00
_symmetry_space_group_name_H-M 'P 1 21/c 1'
_symmetry_Int_Tables_number 14
loop_
_symmetry_equiv_pos_as_xyz
'x,y,z'
'-x,-y,-z'
'-x,y+1/2,-z+1/2'
'x,-y+1/2,z+1/2'
loop_
_atom_site_label
_atom_site_fract_x
_atom_site_fract_y
_atom_site_fract_z
Li1 0.003 0.208 0.322
Ni1 0.142 0.533 0.391
Ni2 0.368 0.534 0.115
S1 0.037 0.116 0.646
S2 0.256 0.620 0.650
S3 0.459 0.249 0.495
O1 0.019 0.230 0.189
O2 0.114 0.582 0.682
O3 0.116 0.000 0.741
O4 0.157 0.590 0.527
O5 0.163 0.558 0.947
O6 0.175 0.128 0.610
O7 0.254 0.186 0.944
O8 0.286 0.707 0.172
O9 0.395 0.625 0.440
O10 0.439 0.527 0.719
O11 0.464 0.193 0.397
O12 0.498 0.123 0.576
```


No. 11
Material: CoHg2As
Method: DFT, GGA-PBEsol
State: optimized geometry

Energy (eV/atom): -3.370

The structure in CIF format:
```
data_CoHg2As
_cell_length_a 2.827
_cell_length_b 3.770
_cell_length_c 13.561
_cell_angle_alpha 90.00
_cell_angle_beta 90.00
_cell_angle_gamma 90.00
_symmetry_space_group_name_H-M 'I m m m'
_symmetry_Int_Tables_number 71
_symmetry_space_group_name_Hall '-I 2 2'
loop_
_atom_site_label
_atom_site_fract_x
_atom_site_fract_y
_atom_site_fract_z
Co1 0.000 0.000 0.000
Hg1 0.000 0.500 0.321
As1 0.000 0.000 0.500
```


No. 12
Material: GdZnPd
Method: DFT, GGA-PBEsol
State: optimized geometry

Energy (eV/atom): -8.041

The structure in CIF format:
```
data_GdZnPd
_cell_length_a 7.1975
_cell_length_b 7.1975
_cell_length_c 3.8536
_cell_angle_alpha 90.00
_cell_angle_beta 90.00
_cell_angle_gamma 120.00
_symmetry_space_group_name_H-M 'P -6 2 m'
_symmetry_Int_Tables_number 189
_symmetry_space_group_name_Hall 'P -6 -2'
loop_
_atom_site_label
_atom_site_fract_x
_atom_site_fract_y
_atom_site_fract_z
Gd1 0.0000 0.4060 0.0000
Zn1 0.0000 0.7521 0.5000
Pd1 0.0000 0.0000 0.0000
Pd2 0.3333 0.6667 0.5000
```